(1)
# ErSi2Pt4

A relaxed structure of ErSi2Pt4 (PBE, Alexandria).

a b c (Å): 16.8689 4.1838 6.5427
angles (deg): 90.00 90.00 90.00
With the nearest neighbours (Å) after each atom.
Space group Pnma (No. 62)
Symmetry-distinct sites (fractional):
Er  0.1406  0.2500  0.0443  8 Pt 2.93-3.04, 3 Si 3.02-3.13
Si  0.0392  0.7500  0.2485  5 Pt 2.40-2.55
Si  0.2104  0.2500  0.6015  7 Pt 2.38-2.65
Pt  0.0316  0.7500  0.8592  3 Si 2.51-2.55
Pt  0.0690  0.2500  0.5132  2 Si 2.40-2.45
Pt  0.1736  0.7500  0.3706  4 Si 2.40-2.65
Pt  0.2139  0.7500  0.7947  3 Si 2.38-2.44

Size of the total moment in Bohr magnetons per cell: 0.000
DOS(E_F) in states/eV per atom: 0.45
DFT total energy in Ry per atom: -0.4827
Formation energy from raw total energies in kJ per mole of atoms: -88
Crystal system: orthorhombic


(2)
# Er2SiPt6

A relaxed structure of Er2SiPt6 (PBE, Alexandria).

a b c (Å): 9.6584 5.6075 6.1035
angles (deg): 90.00 104.33 90.00
With the nearest neighbours (Å) after each atom.
Space group C2/m (No. 12)
Symmetry-distinct sites (fractional):
Er  0.1455  0.0000  0.3594  9 Pt 2.95-3.07
Si  0.0000  0.5000  0.5000  6 Pt 2.39-2.44
Pt  0.1239  0.5000  0.2057  1 Si 2.39
Pt  0.1314  0.2440  0.8035  1 Si 2.44

Size of the total moment in Bohr magnetons per cell: 0.000
DOS(E_F) in states/eV per atom: 0.35
DFT total energy in Ry per atom: -0.4954
Formation energy from raw total energies in kJ per mole of atoms: -106
Crystal system: monoclinic


(3)
# ErSiPt3

A relaxed structure of ErSiPt3 (PBE, Alexandria).

a b c (Å): 5.6567 4.5405 7.1135
angles (deg): 90.00 90.00 90.00
With the nearest neighbours (Å) after each atom.
Space group Pmn2_1 (No. 31)
Symmetry-distinct sites (fractional):
Er  0.0000  0.0332  0.0000  7 Pt 2.89-2.98, 2 Si 3.19
Si  0.0000  0.6451  0.5248  6 Pt 2.31-2.52
Pt  0.0000  0.1232  0.4133  2 Si 2.31-2.50
Pt  0.2430  0.6019  0.2288  2 Si 2.34-2.52

Size of the total moment in Bohr magnetons per cell: 0.000
Polymorph energy (0 for the lowest one) in meV per atom: 0
DOS(E_F) in states/eV per atom: 0.34
DFT total energy in Ry per atom: -0.4889
Formation energy from raw total energies in kJ per mole of atoms: -99
Crystal system: orthorhombic


(4)
# Er7Si2Pt2

A relaxed structure of Er7Si2Pt2 (PBE, Alexandria).

a b c (Å): 8.5465 10.2877 6.8435
angles (deg): 90.00 90.00 90.00
With the nearest neighbours (Å) after each atom.
Space group Cmmm (No. 65)
Symmetry-distinct sites (fractional):
Er  0.0000  0.0000  0.0000  2 Pt 2.87
Er  0.0000  0.5000  0.2509  2 Pt 2.85, 2 Si 2.95
Er  0.2500  0.2500  0.2592  2 Pt 2.79, 2 Si 3.07
Si  0.2189  0.0000  0.5000  6 Er 2.95-3.07
Pt  0.0000  0.2790  0.0000  7 Er 2.79-2.87

Size of the total moment in Bohr magnetons per cell: 0.000
DOS(E_F) in states/eV per atom: 0.76
DFT total energy in Ry per atom: -0.4065
Formation energy from raw total energies in kJ per mole of atoms: -52
Crystal system: orthorhombic


(5)
# Er2SiPt3

A relaxed structure of Er2SiPt3 (PBE, Alexandria).

a b c (Å): 5.4960 5.4960 8.2594
angles (deg): 90.00 90.00 120.00
With the nearest neighbours (Å) after each atom.
Space group P6_3/mmc (No. 194)
Symmetry-distinct sites (fractional):
Er  0.3333  0.6667  0.0602  9 Pt 3.01-3.16, 4 Er 3.14-3.33, 3 Si 3.21
Si  0.0000  0.0000  0.0000  6 Pt 2.61
Pt  0.1672  0.3345  0.7500  2 Si 2.61, 4 Pt 2.74-2.76

Size of the total moment in Bohr magnetons per cell: 0.000
DOS(E_F) in states/eV per atom: 0.35
DFT total energy in Ry per atom: -0.4856
Formation energy from raw total energies in kJ per mole of atoms: -112
Crystal system: hexagonal


(6)
# Er2Si3Pt3

A relaxed structure of Er2Si3Pt3 (PBE, Alexandria).

a b c (Å): 2.8406 2.8406 20.3176
angles (deg): 90.00 90.00 90.00
With the nearest neighbours (Å) after each atom.
Space group P4/mmm (No. 123)
Symmetry-distinct sites (fractional):
Er  0.0000  0.0000  0.2473  1 Pt 2.71, 1 Si 2.80, 4 Er 2.84
Si  0.0000  0.0000  0.0000  2 Pt 2.31
Si  0.0000  0.0000  0.3849  1 Pt 2.34
Pt  0.0000  0.0000  0.1139  1 Si 2.31
Pt  0.0000  0.0000  0.5000  2 Si 2.34

Size of the total moment in Bohr magnetons per cell: 0.000
DOS(E_F) in states/eV per atom: 0.71
DFT total energy in Ry per atom: -0.3745
Formation energy from raw total energies in kJ per mole of atoms: 33
Crystal system: tetragonal


(7)
# Er2Si3Pt2

A relaxed structure of Er2Si3Pt2 (PBE, Alexandria).

a b c (Å): 4.1232 17.5698 6.8961
angles (deg): 90.00 90.00 90.00
With the nearest neighbours (Å) after each atom.
Space group Cmcm (No. 63)
Symmetry-distinct sites (fractional):
Er  0.0000  0.0553  0.2500  9 Si 3.00-3.14
Er  0.0000  0.1528  0.7500  6 Si 2.90-2.96, 6 Pt 2.98-3.09
Si  0.0000  0.2261  0.2500  6 Pt 2.52-2.57
Si  0.0000  0.4403  0.0725  2 Si 2.32-2.45, 1 Pt 2.44
Pt  0.0000  0.3097  0.5463  4 Si 2.44-2.57

Size of the total moment in Bohr magnetons per cell: 0.000
DOS(E_F) in states/eV per atom: 0.38
DFT total energy in Ry per atom: -0.4682
Formation energy from raw total energies in kJ per mole of atoms: -98
Crystal system: orthorhombic


(8)
# Er3Si6Pt20

A relaxed structure of Er3Si6Pt20 (PBE, Alexandria).

a b c (Å): 12.3477 12.3477 12.3477
angles (deg): 90.00 90.00 90.00
With the nearest neighbours (Å) after each atom.
Space group Fm-3m (No. 225)
Symmetry-distinct sites (fractional):
Er  0.0000  0.0000  0.0000  12 Pt 3.01, 6 Si 3.31
Er  0.2500  0.2500  0.2500  4 Pt 2.84
Si  0.0000  0.0000  0.2677  8 Pt 2.43-2.49
Pt  0.0000  0.1724  0.1724  2 Si 2.43, 1 Pt 2.71
Pt  0.1171  0.1171  0.3829  3 Si 2.49

Size of the total moment in Bohr magnetons per cell: 0.000
DOS(E_F) in states/eV per atom: 0.66
DFT total energy in Ry per atom: -0.4839
Formation energy from raw total energies in kJ per mole of atoms: -80
Crystal system: cubic